DFT (PBE) results for a geometry-optimized NaHoPbF6 structure.

For the density of states at the Fermi level, the calculation gives 0.00 states/eV/cell. The uncorrected formation energy comes out at -74.648 kcal/mol of atoms.

The space group is P4_2nm (No. 102) and the conventional cell measures 5.388, 5.388 and 11.033 Å, with angles of 90.00, 90.00 and 90.00 degrees. The asymmetric unit holds Na at (0.000, 0.000, 0.000), Ho at (0.000, 0.000, 0.665), Pb at (0.000, 0.000, 0.331), F at (0.180, 0.180, 0.819), F at (0.193, 0.193, 0.519) and F at (0.212, 0.212, 0.163).

***

DFT (PBE) results for a geometry-optimized RbNaHoF5 structure.

For the density of states at the Fermi level, the calculation gives 0.00 states/eV/cell. The uncorrected formation energy comes out at -79.808 kcal/mol of atoms.

The space group is C2/c (No. 15) and the conventional cell measures 7.518, 10.774 and 8.408 Å, with angles of 90.00, 110.51 and 90.00 degrees. The asymmetric unit holds Rb at (0.000, 0.166, 0.250), Na at (0.000, 0.181, 0.750), Ho at (0.000, 0.500, 0.000), F at (0.000, 0.439, 0.250), F at (0.089, 0.313, 0.589) and F at (0.204, 0.052, 0.924).

***

DFT (PBE) results for a geometry-optimized RbNaHo2F8 structure.

For the density of states at the Fermi level, the calculation gives 0.00 states/eV/cell. The uncorrected formation energy comes out at -84.600 kcal/mol of atoms.

The space group is P2/m (No. 10) and the conventional cell measures 6.191, 3.863 and 7.682 Å, with angles of 90.00, 92.72 and 90.00 degrees. The asymmetric unit holds Rb at (0.000, 0.000, 0.000), Na at (0.000, 0.000, 0.500), Ho at (0.484, 0.500, 0.744), F at (0.268, 0.000, 0.729), F at (0.286, 0.500, 0.488), F at (0.303, 0.500, 0.995) and F at (0.324, 0.000, 0.254).

***

DFT (PBE) results for a geometry-optimized RbNaHoF6 structure.

For the density of states at the Fermi level, the calculation gives 22.79 states/eV/cell. The uncorrected formation energy comes out at -68.781 kcal/mol of atoms.

The space group is Imma (No. 74) and the conventional cell measures 7.097, 8.307 and 11.911 Å, with angles of 90.00, 90.00 and 90.00 degrees. The asymmetric unit holds Rb at (0.000, 0.250, 0.114), Na at (0.250, 0.250, 0.750), Ho at (0.000, 0.000, 0.500), F at (0.000, 0.250, 0.445), F at (0.000, 0.250, 0.877) and F at (0.216, 0.040, 0.624).

***

DFT (PBE) results for a geometry-optimized RbNa2HoF6 structure.

For the density of states at the Fermi level, the calculation gives 0.00 states/eV/cell. The uncorrected formation energy comes out at -76.237 kcal/mol of atoms.

The space group is R3 (No. 146, hexagonal axes) and the conventional cell measures 6.0715, 6.0715 and 16.2488 Å, with angles of 90.00, 90.00 and 120.00 degrees. The asymmetric unit holds Rb at (0.0000, 0.0000, 0.0000), Na at (0.0000, 0.0000, 0.2725), Na at (0.0000, 0.0000, 0.7838), Ho at (0.0000, 0.0000, 0.4782), F at (0.0022, 0.3232, 0.5379) and F at (0.0388, 0.5960, 0.0538).

***

DFT (PBE) results for a geometry-optimized NaHoRhF6 structure.

For the density of states at the Fermi level, the calculation gives 14.14 states/eV/cell. The uncorrected formation energy comes out at -63.065 kcal/mol of atoms.

The space group is P-31c (No. 163) and the conventional cell measures 5.6484, 5.6484 and 9.9736 Å, with angles of 90.00, 90.00 and 120.00 degrees. The asymmetric unit holds Na at (0.0000, 0.0000, 0.0000), Ho at (0.3333, 0.6667, 0.2500), Rh at (0.3333, 0.6667, 0.7500) and F at (0.0024, 0.3467, 0.6334).

***

DFT (PBE) results for a geometry-optimized NaHoTlF6 structure.

For the density of states at the Fermi level, the calculation gives 7.28 states/eV/cell. The uncorrected formation energy comes out at -67.825 kcal/mol of atoms.

The space group is P-31c (No. 163) and the conventional cell measures 6.1420, 6.1420 and 9.3101 Å, with angles of 90.00, 90.00 and 120.00 degrees. The asymmetric unit holds Na at (0.0000, 0.0000, 0.0000), Ho at (0.3333, 0.6667, 0.2500), Tl at (0.3333, 0.6667, 0.7500) and F at (0.0302, 0.3592, 0.1282).

***

DFT (PBE) results for a geometry-optimized NaHoTl2F6 structure.

For the density of states at the Fermi level, the calculation gives 0.00 states/eV/cell. The uncorrected formation energy comes out at -67.596 kcal/mol of atoms.

The space group is P2_1/c (No. 14) and the conventional cell measures 6.335, 6.334 and 10.961 Å, with angles of 90.00, 125.26 and 90.00 degrees. The asymmetric unit holds Na at (0.000, 0.000, 0.000), Ho at (0.500, 0.000, 0.500), Tl at (0.246, 0.016, 0.750), F at (0.207, 0.216, 0.472), F at (0.257, 0.734, 0.471) and F at (0.315, 0.009, 0.260).

***

DFT (PBE) results for a geometry-optimized NaHoZnF6 structure.

For the density of states at the Fermi level, the calculation gives 0.00 states/eV/cell. The uncorrected formation energy comes out at -73.555 kcal/mol of atoms.

The space group is P-31c (No. 163) and the conventional cell measures 5.6542, 5.6542 and 9.6310 Å, with angles of 90.00, 90.00 and 120.00 degrees. The asymmetric unit holds Na at (0.0000, 0.0000, 0.0000), Ho at (0.3333, 0.6667, 0.2500), Zn at (0.3333, 0.6667, 0.7500) and F at (0.0149, 0.3626, 0.6359).

***

DFT (PBE) results for a geometry-optimized Nd3HoF structure.

For the density of states at the Fermi level, the calculation gives 5.33 states/eV/cell. The uncorrected formation energy comes out at -22.529 kcal/mol of atoms.

The space group is Pm-3m (No. 221) and the conventional cell measures 5.172, 5.172 and 5.172 Å, with angles of 90.00, 90.00 and 90.00 degrees. The asymmetric unit holds Nd at (0.000, 0.000, 0.500), Ho at (0.500, 0.500, 0.500) and F at (0.000, 0.000, 0.000).

***

DFT (PBE) results for a geometry-optimized NdHo2F11 structure.

For the density of states at the Fermi level, the calculation gives 51.35 states/eV/cell. The uncorrected formation energy comes out at -79.485 kcal/mol of atoms.

The space group is Ibam (No. 72) and the conventional cell measures 8.377, 10.292 and 11.482 Å, with angles of 90.00, 90.00 and 90.00 degrees. The asymmetric unit holds Nd at (0.000, 0.000, 0.250), Ho at (0.157, 0.311, 0.000), F at (0.000, 0.500, 0.000), F at (0.105, 0.174, 0.140), F at (0.110, 0.304, 0.500) and F at (0.212, 0.078, 0.369).

***

DFT (PBE) results for a geometry-optimized Nd2HoF structure.

For the density of states at the Fermi level, the calculation gives 10.21 states/eV/cell. The uncorrected formation energy comes out at -26.055 kcal/mol of atoms.

The space group is R-3m (No. 166, hexagonal axes) and the conventional cell measures 3.7923, 3.7923 and 26.0233 Å, with angles of 90.00, 90.00 and 120.00 degrees. The asymmetric unit holds Nd at (0.0000, 0.0000, 0.2236), Ho at (0.0000, 0.0000, 0.0000) and F at (0.0000, 0.0000, 0.5000).